(1)
A PBEsol-optimized structure of LaBe2W. Source: Alexandria via LeMat-Bulk, functional meta-GGA SCAN.

It has space group Cmmm (No. 65), with a = 5.596 Å, b = 7.551 Å, c = 2.904 Å, α = 90.00°, β = 90.00° and γ = 90.00°. The inequivalent atoms are La at (0.000, 0.000, 0.000), Be at (0.250, 0.250, 0.500) and W at (0.000, 0.500, 0.000).

The offset from the most stable computed form is 0 meV/atom.



(2)
A PBEsol-optimized structure of La3YBe. Source: Alexandria via LeMat-Bulk, functional meta-GGA SCAN.

It has space group Pm-3m (No. 221), with a = 5.660 Å, b = 5.660 Å, c = 5.660 Å, α = 90.00°, β = 90.00° and γ = 90.00°. The inequivalent atoms are La at (0.000, 0.000, 0.500), Y at (0.000, 0.000, 0.000) and Be at (0.500, 0.500, 0.500).



(3)
A PBEsol-optimized structure of La2BeZn. Source: Alexandria via LeMat-Bulk, functional meta-GGA SCAN.

It has space group Pmm2 (No. 25), with a = 3.597 Å, b = 4.777 Å, c = 5.275 Å, α = 90.00°, β = 90.00° and γ = 90.00°. The inequivalent atoms are La at (0.000, 0.000, 0.000), La at (0.000, 0.500, 0.386), Be at (0.500, 0.000, 0.534) and Zn at (0.500, 0.500, 0.849).

The offset from the most stable computed form is 0 meV/atom.



(4)
A PBEsol-optimized structure of LaBe3Zn. Source: Alexandria via LeMat-Bulk, functional meta-GGA SCAN.

It has space group Pm-3m (No. 221), with a = 4.973 Å, b = 4.973 Å, c = 4.973 Å, α = 90.00°, β = 90.00° and γ = 90.00°. The inequivalent atoms are La at (0.000, 0.000, 0.000), Be at (0.000, 0.000, 0.500) and Zn at (0.500, 0.500, 0.500).



(5)
A PBEsol-optimized structure of LaBe4Zn. Source: Alexandria via LeMat-Bulk, functional meta-GGA SCAN.

It has space group F-43m (No. 216), with a = 6.921 Å, b = 6.921 Å, c = 6.921 Å, α = 90.00°, β = 90.00° and γ = 90.00°. The inequivalent atoms are La at (0.000, 0.000, 0.000), Be at (0.126, 0.126, 0.374) and Zn at (0.250, 0.250, 0.750).



(6)
A PBEsol-optimized structure of La2BeZn. Source: Alexandria via LeMat-Bulk, functional meta-GGA SCAN.

It has space group R-3m (No. 166, hexagonal axes), with a = 3.6331 Å, b = 3.6331 Å, c = 26.8121 Å, α = 90.00°, β = 90.00° and γ = 120.00°. The inequivalent atoms are La at (0.0000, 0.0000, 0.2446), Be at (0.0000, 0.0000, 0.5000) and Zn at (0.0000, 0.0000, 0.0000).

The offset from the most stable computed form is 303 meV/atom.



(7)
A PBEsol-optimized structure of LaZr2Be. Source: Alexandria via LeMat-Bulk, functional meta-GGA SCAN.

It has space group P4/mmm (No. 123), with a = 5.027 Å, b = 5.027 Å, c = 3.234 Å, α = 90.00°, β = 90.00° and γ = 90.00°. The inequivalent atoms are La at (0.000, 0.000, 0.000), Zr at (0.000, 0.500, 0.500) and Be at (0.500, 0.500, 0.000).



(8)
A PBEsol-optimized structure of La2ZrBe. Source: Alexandria via LeMat-Bulk, functional meta-GGA SCAN.

It has space group R-3m (No. 166, hexagonal axes), with a = 3.4108 Å, b = 3.4108 Å, c = 29.9612 Å, α = 90.00°, β = 90.00° and γ = 120.00°. The inequivalent atoms are La at (0.0000, 0.0000, 0.2412), Zr at (0.0000, 0.0000, 0.0000) and Be at (0.0000, 0.0000, 0.5000).



(9)
A PBEsol-optimized structure of LaZr2Be. Source: Alexandria via LeMat-Bulk, functional meta-GGA SCAN.

It has space group I-4m2 (No. 119), with a = 4.361 Å, b = 4.361 Å, c = 8.807 Å, α = 90.00°, β = 90.00° and γ = 90.00°. The inequivalent atoms are La at (0.000, 0.000, 0.000), Zr at (0.000, 0.000, 0.500), Zr at (0.000, 0.500, 0.250) and Be at (0.000, 0.500, 0.750).



(10)
A PBEsol-optimized structure of LaZrBe. Source: Alexandria via LeMat-Bulk, functional meta-GGA SCAN.

It has space group I4mm (No. 107), with a = 3.173 Å, b = 3.173 Å, c = 12.682 Å, α = 90.00°, β = 90.00° and γ = 90.00°. The inequivalent atoms are La at (0.000, 0.000, 0.000), Zr at (0.000, 0.000, 0.715) and Be at (0.000, 0.000, 0.332).



(11)
A PBEsol-optimized structure of La2ZrBe. Source: Alexandria via LeMat-Bulk, functional meta-GGA SCAN.

It has space group Amm2 (No. 38), with a = 4.752 Å, b = 3.361 Å, c = 12.564 Å, α = 90.00°, β = 90.00° and γ = 90.00°. The inequivalent atoms are La at (0.000, 0.000, 0.000), La at (0.500, 0.000, 0.310), Zr at (0.500, 0.000, 0.598) and Be at (0.000, 0.000, 0.709).



(12)
A PBEsol-optimized structure of LaZr4Be. Source: Alexandria via LeMat-Bulk, functional meta-GGA SCAN.

It has space group F-43m (No. 216), with a = 8.223 Å, b = 8.223 Å, c = 8.223 Å, α = 90.00°, β = 90.00° and γ = 90.00°. The inequivalent atoms are La at (0.000, 0.000, 0.000), Zr at (0.126, 0.126, 0.374) and Be at (0.250, 0.250, 0.750).



Asked for size of the total moment across the records above, the calculation gives 0.000; 0.000; 0.000; 0.029; 0.000; 0.000; 0.000; 0.000; 0.000; 0.000; 0.000; 0.000 μB per atom in order.
Asked for N(E_F) across the records above, the calculation gives 0.5546; 1.2130; 0.7078; 0.7792; 0.5135; 0.9921; 1.1528; 0.8864; 0.9593; 0.7131; 1.1506; 1.2781 states/eV/atom in order.
Asked for energy relative to the elements across the records above, the calculation gives 0.698; 1.074; -0.084; 2.111; 0.325; 0.220; 0.419; 0.428; 0.272; 0.173; 0.237; 0.618 eV per atom in order.